FeTc2Br | Alexandria via LeMat-Bulk | PBE | optimized geometry; space-group type = P4/mmm, No. 123; volume = 61 Å³/f.u.; DOS(E_F) = 1.88 states/eV/cell; formation energy from raw total energies = 0.55 eV per atom; energy relative to the lowest polymorph listed for this composition = 2.86 kcal/mol of atoms
1.0
3.044 0.000 0.000
0.000 3.044 0.000
0.000 0.000 6.558
Fe Tc Br
1 2 1
direct
0.000 0.000 0.000
0.500 0.500 0.209
0.500 0.500 0.791
0.000 0.000 0.500

BaSrHo | Alexandria via LeMat-Bulk | PBE | optimized geometry; space-group type = C2/m, No. 12; volume = 145 Å³/f.u.; VASP energy = -14.73 eV per cell; DOS(E_F) = 8.81 states/eV/cell
1.0
6.981 -1.932 0.000
6.981 1.932 0.000
-5.585 0.000 10.717
Ba Sr Ho
2 2 2
direct
0.157 0.157 0.082
0.843 0.843 0.918
0.016 0.016 0.688
0.984 0.984 0.312
0.254 0.254 0.614
0.746 0.746 0.386

SrZnF3 | Alexandria via LeMat-Bulk | PBE | optimized geometry; space-group type = Pm-3m, No. 221; volume = 106 Å³/f.u.; DOS(E_F) = 2.18 states/eV/cell; formation energy from raw total energies = -2.40 eV per atom; energy relative to the lowest polymorph listed for this composition = 12.18 kcal/mol of atoms
1.0
4.726 0.000 0.000
0.000 4.726 0.000
0.000 0.000 4.726
Sr Zn F
1 1 3
direct
0.000 0.000 0.000
0.500 0.500 0.500
0.000 0.000 0.500
0.000 0.500 0.000
0.500 0.000 0.000

NpScSb2 | Alexandria via LeMat-Bulk | PBE | optimized geometry; space-group type = P-3m1, No. 164; volume = 114 Å³/f.u.; DOS(E_F) = 7.57 states/eV/cell; formation energy from raw total energies = -0.49 eV per atom; energy relative to the lowest polymorph listed for this composition = 1.57 kcal/mol of atoms
1.0
4.227 0.000 0.000
-2.114 3.661 0.000
0.000 0.000 7.374
Np Sc Sb
1 1 2
direct
0.000 0.000 0.000
0.000 0.000 0.500
0.333 0.667 0.733
0.667 0.333 0.267

YMgAu2 | Alexandria via LeMat-Bulk | PBE | optimized geometry; space-group type = I-4m2, No. 119; volume = 84 Å³/f.u.; VASP energy = -16.92 eV per cell; DOS(E_F) = 1.80 states/eV/cell
1.0
-2.149 2.149 4.522
2.149 -2.149 4.522
2.149 2.149 -4.522
Y Mg Au
1 1 2
direct
0.000 0.000 0.000
0.750 0.250 0.500
0.250 0.750 0.500
0.500 0.500 0.000

CuIrRu2 | Alexandria via LeMat-Bulk | PBE | optimized geometry; space-group type = Imm2, No. 44; volume = 55 Å³/f.u.; DOS(E_F) = 4.93 states/eV/cell; energy relative to the lowest polymorph listed for this composition = 4.33 kcal/mol of atoms
1.0
-1.414 2.212 4.404
1.414 -2.212 4.404
1.414 2.212 -4.404
Cu Ir Ru
1 1 2
direct
0.000 0.000 0.000
0.235 0.735 0.500
0.503 0.503 0.000
0.766 0.266 0.500

BaFePt3 | Alexandria via LeMat-Bulk | PBE | optimized geometry; space-group type = Pm-3m, No. 221; volume = 112 Å³/f.u.; DOS(E_F) = 3.81 states/eV/cell; energy relative to the lowest polymorph listed for this composition = 0.00 kcal/mol of atoms
1.0
4.814 0.000 0.000
0.000 4.814 0.000
0.000 0.000 4.814
Ba Fe Pt
1 1 3
direct
0.000 0.000 0.000
0.500 0.500 0.500
0.000 0.500 0.500
0.500 0.000 0.500
0.500 0.500 0.000

Ca2CoAg | Alexandria via LeMat-Bulk | PBE | optimized geometry; space-group type = Amm2, No. 38; volume = 99 Å³/f.u.; DOS(E_F) = 4.89 states/eV/cell; energy relative to the lowest polymorph listed for this composition = 0.00 kcal/mol of atoms
1.0
4.390 0.000 0.000
0.000 2.059 5.455
0.000 -2.059 5.455
Ca Co Ag
2 1 1
direct
0.000 0.000 0.000
0.500 0.288 0.288
0.500 0.578 0.578
0.000 0.708 0.708

Sc2HgMo | Alexandria via LeMat-Bulk | PBE | optimized geometry; space-group type = F-43m, No. 216; volume = 79 Å³/f.u.; VASP energy = -22.90 eV per cell; DOS(E_F) = 4.19 states/eV/cell
1.0
0.000 3.399 3.399
3.399 0.000 3.399
3.399 3.399 0.000
Sc Hg Mo
2 1 1
direct
0.000 0.000 0.000
0.250 0.250 0.250
0.500 0.500 0.500
0.750 0.750 0.750

PrCuPt2 | Alexandria via LeMat-Bulk | PBE | optimized geometry; space-group type = R-3m, No. 166; volume = 74 Å³/f.u.; VASP energy = -72.37 eV per cell; DOS(E_F) = 4.89 states/eV/cell
1.0
2.764 1.596 8.422
-2.764 1.596 8.422
0.000 -3.192 8.422
Pr Cu Pt
3 3 6
direct
0.000 0.000 0.000
0.139 0.139 0.139
0.861 0.861 0.861
0.333 0.333 0.333
0.500 0.500 0.500
0.667 0.667 0.667
0.081 0.583 0.583
0.417 0.417 0.919
0.417 0.919 0.417
0.583 0.081 0.583
0.583 0.583 0.081
0.919 0.417 0.417